# 1
Density functional theory data (PBE-GGA) for crystalline HfAuO2 at its relaxed geometry.

a = 9.526 Å, b = 9.526 Å, c = 9.526 Å
α = 19.06°, β = 19.06°, γ = 19.06°
Sites, in units of the cell vectors:
Hf (0.000, 0.000, 0.000)
Au (0.500, 0.500, 0.500)
O (0.369, 0.369, 0.369)
O (0.631, 0.631, 0.631)


# 2
Density functional theory data (PBE-GGA) for crystalline HfAuO2 at its relaxed geometry.

a = 6.206 Å, b = 6.206 Å, c = 6.206 Å
α = 122.99°, β = 122.99°, γ = 84.89°
Sites, in units of the cell vectors:
Hf (0.000, 0.000, 0.000)
Hf (0.750, 0.250, 0.500)
Au (0.250, 0.750, 0.500)
Au (0.500, 0.500, 0.000)
O (0.375, 0.217, 0.342)
O (0.783, 0.125, 0.158)
O (0.875, 0.033, 0.658)
O (0.967, 0.625, 0.842)


# 3
Density functional theory data (PBE-GGA) for crystalline HfAuO3 at its relaxed geometry.

a = 4.087 Å, b = 4.087 Å, c = 4.087 Å
α = 90.00°, β = 90.00°, γ = 90.00°
Sites, in units of the cell vectors:
Hf (0.000, 0.000, 0.000)
Au (0.500, 0.500, 0.500)
O (0.000, 0.000, 0.500)
O (0.000, 0.500, 0.000)
O (0.500, 0.000, 0.000)


# 4
Density functional theory data (PBE-GGA) for crystalline HfPAuO2 at its relaxed geometry.

a = 4.060 Å, b = 4.060 Å, c = 4.773 Å
α = 90.00°, β = 90.00°, γ = 90.00°
Sites, in units of the cell vectors:
Hf (0.000, 0.000, 0.000)
P (0.500, 0.500, 0.000)
Au (0.500, 0.500, 0.500)
O (0.000, 0.500, 0.500)
O (0.500, 0.000, 0.500)


# 5
Density functional theory data (PBE-GGA) for crystalline HfPAuO2 at its relaxed geometry.

a = 3.944 Å, b = 3.944 Å, c = 5.734 Å
α = 90.00°, β = 90.00°, γ = 90.00°
Sites, in units of the cell vectors:
Hf (0.000, 0.000, 0.000)
P (0.000, 0.000, 0.500)
Au (0.500, 0.500, 0.500)
O (0.000, 0.500, 0.000)
O (0.500, 0.000, 0.000)


# 6
Density functional theory data (PBE-GGA) for crystalline HfP2AuO8 at its relaxed geometry.

a = 8.007 Å, b = 8.007 Å, c = 8.007 Å
α = 35.76°, β = 35.76°, γ = 35.76°
Sites, in units of the cell vectors:
Hf (0.000, 0.000, 0.000)
P (0.254, 0.254, 0.254)
P (0.746, 0.746, 0.746)
Au (0.500, 0.500, 0.500)
O (0.002, 0.413, 0.752)
O (0.185, 0.185, 0.185)
O (0.248, 0.998, 0.587)
O (0.413, 0.752, 0.002)
O (0.587, 0.248, 0.998)
O (0.752, 0.002, 0.413)
O (0.815, 0.815, 0.815)
O (0.998, 0.587, 0.248)


Listing formation energy from raw total energies for the structures above in their given order: -2.25, -1.91, -1.59, 0.06, -1.24, -2.00 eV/atom.
Listing total magnetization for the structures above in their given order: 0.00, 0.00, 1.00, 0.00, 0.25, 1.08 μB/f.u..